PrDyPa2As4 | PBE-GGA | optimized geometry

Values from the calculation:
As for the formation energy: -1271 meV/atom. As for the density of states at the Fermi level: 7.909 states/eV/cell. The crystal system is monoclinic. The calculation puts the mass density at 8.8 g cm⁻³. The calculation puts the total energy at -7.142 eV/atom.

Lattice parameters (Å, degrees): 4.1457 7.1882 7.1837 70.56 90.00 90.00
Fractional coordinates of all 8 atoms:
As 0.5000 0.7574 0.2527
As 0.0000 0.7615 0.7408
As 0.5000 0.2426 0.7473
As 0.0000 0.2385 0.2592
Pa 0.0000 0.0000 0.0000
Pa 0.5000 0.0000 0.5000
Pr 0.5000 0.5000 0.0000
Dy 0.0000 0.5000 0.5000

Pr3Dy2PaAs6 | PBE-GGA | optimized geometry

Values from the calculation:
As for the formation energy: -1453 meV/atom. As for the density of states at the Fermi level: 4.483 states/eV/cell. The crystal system is monoclinic. The calculation puts the mass density at 7.5 g cm⁻³. The calculation puts the total energy at -6.531 eV/atom.

Lattice parameters (Å, degrees): 7.2667 7.2667 7.3043 99.53 99.53 120.00
Fractional coordinates of all 12 atoms:
Dy 0.6662 0.3338 0.0000
Dy 0.3338 0.6662 0.0000
As 0.7508 0.7508 0.2352
As 0.0782 0.4064 0.2353
As 0.4064 0.0782 0.2353
As 0.2492 0.2492 0.7648
As 0.5936 0.9218 0.7647
As 0.9218 0.5936 0.7647
Pa 0.0000 0.0000 0.0000
Pr 0.8318 0.1682 0.5000
Pr 0.1682 0.8318 0.5000
Pr 0.5000 0.5000 0.5000

Dy3PuPa2As6 | PBE-GGA | optimized geometry

Values from the calculation:
As for the formation energy: -1298 meV/atom. As for the density of states at the Fermi level: 17.450 states/eV/cell. The crystal system is monoclinic. The calculation puts the mass density at 9.2 g cm⁻³. The calculation puts the total energy at -7.550 eV/atom.

Lattice parameters (Å, degrees): 7.1264 7.1264 7.1191 99.60 99.60 119.99
Fractional coordinates of all 12 atoms:
As 0.9171 0.5801 0.7516
As 0.0829 0.4199 0.2484
As 0.4199 0.0829 0.2484
As 0.2543 0.2543 0.7514
As 0.5801 0.9171 0.7516
As 0.7457 0.7457 0.2486
Dy 0.8344 0.1656 0.5000
Dy 0.1656 0.8344 0.5000
Dy 0.5000 0.5000 0.5000
Pu 0.0000 0.0000 0.0000
Pa 0.6669 0.3331 0.0000
Pa 0.3331 0.6669 0.0000

DyPu2PaAs4 | PBE-GGA | optimized geometry

Values from the calculation:
As for the formation energy: -1183 meV/atom. As for the density of states at the Fermi level: 20.634 states/eV/cell. The crystal system is monoclinic. The calculation puts the mass density at 9.9 g cm⁻³. The calculation puts the total energy at -8.853 eV/atom.

Lattice parameters (Å, degrees): 4.1370 7.1448 7.1333 109.54 90.00 90.00
Fractional coordinates of all 8 atoms:
Pu 0.0000 0.5000 0.5000
Pu 0.5000 0.0000 0.5000
As 0.0000 0.7522 0.2476
As 0.0000 0.2478 0.7524
As 0.5000 0.7529 0.7542
As 0.5000 0.2471 0.2458
Pa 0.0000 0.0000 0.0000
Dy 0.5000 0.5000 0.0000

Dy2PuPaAs4 | PBE-GGA | optimized geometry

Values from the calculation:
As for the formation energy: -1301 meV/atom. As for the density of states at the Fermi level: 12.336 states/eV/cell. The crystal system is monoclinic. The calculation puts the mass density at 9.3 g cm⁻³. The calculation puts the total energy at -7.755 eV/atom.

Lattice parameters (Å, degrees): 4.1232 7.1228 7.1212 109.52 90.00 90.00
Fractional coordinates of all 8 atoms:
Dy 0.5000 0.0000 0.5000
Dy 0.0000 0.5000 0.5000
As 0.5000 0.2524 0.2481
As 0.0000 0.2534 0.7516
As 0.5000 0.7476 0.7519
As 0.0000 0.7466 0.2484
Pa 0.5000 0.5000 0.0000
Pu 0.0000 0.0000 0.0000

DyPuPa2As4 | PBE-GGA | optimized geometry

Values from the calculation:
As for the formation energy: -1177 meV/atom. As for the density of states at the Fermi level: 13.367 states/eV/cell. The crystal system is monoclinic. The calculation puts the mass density at 9.9 g cm⁻³. The calculation puts the total energy at -8.243 eV/atom.

Lattice parameters (Å, degrees): 4.1154 7.0988 7.1311 70.43 90.00 90.00
Fractional coordinates of all 8 atoms:
Dy 0.5000 0.5000 0.0000
Pa 0.5000 0.0000 0.5000
Pa 0.0000 0.0000 0.0000
As 0.0000 0.7532 0.7501
As 0.5000 0.2471 0.7518
As 0.0000 0.2468 0.2499
As 0.5000 0.7529 0.2482
Pu 0.0000 0.5000 0.5000